PBE+U PrCr2TcO8, relaxed; energy = -91.789 eV for the cell shown; space group = Cmmm (65)
1.0
-0.488 4.004 2.531
-2.950 -2.135 3.067
5.082 -1.715 3.696
Pr Cr Tc O
1 2 1 8
direct
0.000 0.000 0.500
0.500 0.500 0.750
0.500 0.500 0.250
0.000 0.000 0.000
0.202 0.798 0.204
0.711 0.712 0.000
0.798 0.202 0.204
0.798 0.202 0.796
0.289 0.288 0.000
0.202 0.798 0.796
0.669 0.669 0.500
0.331 0.331 0.500